(1)
VASP calculation (PBE-GGA) on a relaxed structure of SnAsOF2.

Raw total energy, Ry/atom: -0.33380
ΔE_f (raw), kJ/mol of formula units: -517

Cell and atoms, written as CIF:
```
data_SnAsOF2
_chemical_formula_sum 'Sn1 As1 O1 F2'
_space_group_name_H-M_alt 'P 4/m m m'
_space_group_IT_number 123
_space_group_name_Hall '-P 4 2'
_cell_length_a 4.507
_cell_length_b 4.507
_cell_length_c 3.970
_cell_angle_alpha 90.00
_cell_angle_beta 90.00
_cell_angle_gamma 90.00
loop_
_atom_site_label
_atom_site_fract_x
_atom_site_fract_y
_atom_site_fract_z
Sn1 0.000 0.000 0.000
As1 0.500 0.500 0.500
O1 0.500 0.500 0.000
F1 0.000 0.500 0.500
```

---

(2)
VASP calculation (PBE-GGA) on a relaxed structure of SrAsOF2.

Raw total energy, Ry/atom: -0.35938
ΔE_f (raw), kJ/mol of formula units: -908

Cell and atoms, written as CIF:
```
data_SrAsOF2
_chemical_formula_sum 'Sr1 As1 O1 F2'
_space_group_name_H-M_alt 'P 4/m m m'
_space_group_IT_number 123
_space_group_name_Hall '-P 4 2'
_cell_length_a 4.552
_cell_length_b 4.552
_cell_length_c 4.047
_cell_angle_alpha 90.00
_cell_angle_beta 90.00
_cell_angle_gamma 90.00
loop_
_atom_site_label
_atom_site_fract_x
_atom_site_fract_y
_atom_site_fract_z
Sr1 0.000 0.000 0.000
As1 0.500 0.500 0.500
O1 0.500 0.500 0.000
F1 0.000 0.500 0.500
```

---

(3)
VASP calculation (PBE-GGA) on a relaxed structure of SrAsOF2.

Raw total energy, Ry/atom: -0.32094
ΔE_f (raw), kJ/mol of formula units: -656

Cell and atoms, written as CIF:
```
data_SrAsOF2
_chemical_formula_sum 'Sr1 As1 O1 F2'
_space_group_name_H-M_alt 'P 4/m m m'
_space_group_IT_number 123
_space_group_name_Hall '-P 4 2'
_cell_length_a 4.551
_cell_length_b 4.551
_cell_length_c 5.043
_cell_angle_alpha 90.00
_cell_angle_beta 90.00
_cell_angle_gamma 90.00
loop_
_atom_site_label
_atom_site_fract_x
_atom_site_fract_y
_atom_site_fract_z
Sr1 0.000 0.000 0.000
As1 0.500 0.500 0.500
O1 0.000 0.000 0.500
F1 0.000 0.500 0.000
```

---

(4)
VASP calculation (PBE-GGA) on a relaxed structure of Sr2Ti2As2OF2.

Raw total energy, Ry/atom: -0.47852
ΔE_f (raw), kJ/mol of formula units: -2069

Cell and atoms, written as CIF:
```
data_Sr2Ti2As2OF2
_chemical_formula_sum 'Sr4 Ti4 As4 O2 F4'
_space_group_name_H-M_alt 'I 4/m m m'
_space_group_IT_number 139
_space_group_name_Hall '-I 4 2'
_cell_length_a 4.066
_cell_length_b 4.066
_cell_length_c 19.711
_cell_angle_alpha 90.00
_cell_angle_beta 90.00
_cell_angle_gamma 90.00
loop_
_atom_site_label
_atom_site_fract_x
_atom_site_fract_y
_atom_site_fract_z
Sr1 0.000 0.000 0.177
Ti1 0.000 0.500 0.000
As1 0.000 0.000 0.408
O1 0.000 0.000 0.000
F1 0.000 0.500 0.250
```